1.
The following is a DFT calculation (PBE) of an optimized crystal structure of Tb4Er2Cd.

Cell: 8.394 8.394 8.461 Å, 116.69 116.69 23.97°
Fractional coordinates of all 7 atoms:
Tb  0.082  0.082  0.203
Tb  0.368  0.368  0.106
Tb  0.632  0.632  0.894
Tb  0.918  0.918  0.797
Er  0.218  0.218  0.640
Er  0.782  0.782  0.360
Cd  0.000  0.000  0.500


2.
The following is a DFT calculation (PBE) of an optimized crystal structure of Tb12Er7Cd.

Cell: 9.158 9.158 9.158 Å, 107.46 107.46 107.46°
Fractional coordinates of all 20 atoms:
Tb  0.100  0.202  0.438
Tb  0.117  0.822  0.284
Tb  0.178  0.716  0.883
Tb  0.202  0.438  0.100
Tb  0.284  0.117  0.822
Tb  0.438  0.100  0.202
Tb  0.562  0.900  0.798
Tb  0.716  0.883  0.178
Tb  0.798  0.562  0.900
Tb  0.822  0.284  0.117
Tb  0.883  0.178  0.716
Tb  0.900  0.798  0.562
Er  0.000  0.000  0.000
Er  0.188  0.600  0.495
Er  0.400  0.505  0.812
Er  0.495  0.188  0.600
Er  0.505  0.812  0.400
Er  0.600  0.495  0.188
Er  0.812  0.400  0.505
Cd  0.500  0.500  0.500


3.
The following is a DFT calculation (PBE) of an optimized crystal structure of TbEr5Cd6.

Cell: 8.321 8.321 7.454 Å, 90.00 90.00 143.22°
Fractional coordinates of all 12 atoms:
Tb  0.000  0.000  0.000
Er  0.000  0.000  0.500
Er  0.332  0.668  0.000
Er  0.334  0.666  0.500
Er  0.666  0.334  0.500
Er  0.668  0.332  0.000
Cd  0.167  0.833  0.252
Cd  0.167  0.833  0.748
Cd  0.500  0.500  0.251
Cd  0.500  0.500  0.749
Cd  0.833  0.167  0.252
Cd  0.833  0.167  0.748


4.
The following is a DFT calculation (PBE) of an optimized crystal structure of TbErCd5.

Cell: 5.120 5.120 6.918 Å, 90.00 90.00 90.00°
Fractional coordinates of all 7 atoms:
Tb  0.000  0.000  0.000
Er  0.500  0.500  0.500
Cd  0.000  0.500  0.268
Cd  0.000  0.500  0.732
Cd  0.500  0.000  0.268
Cd  0.500  0.000  0.732
Cd  0.500  0.500  0.000


5.
The following is a DFT calculation (PBE) of an optimized crystal structure of Tb2Er8Cd.

Cell: 9.979 9.979 6.339 Å, 95.03 95.03 31.98°
Fractional coordinates of all 11 atoms:
Tb  0.243  0.243  0.332
Tb  0.757  0.757  0.668
Er  0.045  0.045  0.265
Er  0.154  0.154  0.805
Er  0.340  0.340  0.876
Er  0.422  0.422  0.401
Er  0.578  0.578  0.599
Er  0.660  0.660  0.124
Er  0.846  0.846  0.195
Er  0.955  0.955  0.735
Cd  0.500  0.500  0.000


6.
The following is a DFT calculation (PBE) of an optimized crystal structure of Tb2Er3Cd3.

Cell: 11.515 11.515 11.515 Å, 161.40 153.40 32.65°
Fractional coordinates of all 8 atoms:
Tb  0.233  0.233  0.000
Tb  0.767  0.767  0.000
Er  0.000  0.000  0.000
Er  0.377  0.877  0.500
Er  0.623  0.123  0.500
Cd  0.116  0.616  0.500
Cd  0.500  0.500  0.000
Cd  0.884  0.384  0.500


Across the entries above, magnetization takes the values 0.000 0.000 0.000 0.000 0.000 0.000 μB per atom, respectively.
Across the entries above, energy of formation from the pure elements takes the values 0.037 0.138 -0.317 -0.089 -0.014 -0.232 eV per atom, respectively.